[1]
A plane-wave DFT calculation with PBE-GGA was carried out for a relaxed Sc2AgPbC crystal.

POSCAR file:
```
Sc2AgPbC
1.0
-1.9704 1.4498 5.0827
0.6071 -4.9360 1.6433
5.2449 1.2074 1.6888
Ag Sc C Pb
1 2 1 1
Cartesian
0.3036 -2.4680 0.8217
-0.9852 0.7249 2.5414
2.6224 0.6037 0.8444
1.9408 -1.1394 4.2074
0.0000 0.0000 0.0000
```

Properties
Crystal system: tetragonal
Relative energy among the computed polymorphs (eV/atom): 1.994



[2]
A plane-wave DFT calculation with PBE-GGA was carried out for a relaxed Sc2AgPbC crystal.

POSCAR file:
```
Sc2AgPbC
1.0
-3.0301 3.0031 1.5535
-1.4799 -3.0536 3.0164
3.0387 1.5061 3.0155
Sc C Pb Ag
2 1 1 1
Cartesian
-1.5150 1.5015 0.7768
-0.7399 -1.5268 1.5082
0.0000 0.0000 0.0000
-0.7356 0.7278 3.7927
1.5194 0.7530 1.5078
```

Properties
Crystal system: tetragonal
Relative energy among the computed polymorphs (eV/atom): 0.000



[3]
A plane-wave DFT calculation with PBE-GGA was carried out for a relaxed ScAg2PbC crystal.

POSCAR file:
```
ScAg2PbC
1.0
-2.0373 2.5898 -4.1663
-0.1646 -3.7727 -2.2646
-4.9016 -0.8921 1.8423
Pb Sc Ag C
1 1 2 1
Cartesian
0.0000 0.0000 0.0000
-3.5517 -1.0375 -2.2943
-1.0186 1.2949 -2.0832
-2.4508 -0.4460 0.9212
-0.0823 -1.8864 -1.1323
```

Properties
Crystal system: tetragonal



[4]
A plane-wave DFT calculation with PBE-GGA was carried out for a relaxed AgSnPbC2 crystal.

POSCAR file:
```
AgSnPbC2
1.0
4.5221 0.0000 0.0000
0.0000 5.5245 0.0000
0.0000 0.0000 4.5221
Sn Ag Pb C
1 1 1 2
Cartesian
2.2611 2.7623 2.2611
0.0000 2.7623 0.0000
0.0000 0.0000 0.0000
2.2611 0.0000 0.0000
0.0000 0.0000 2.2611
```

Properties
Crystal system: tetragonal



[5]
A plane-wave DFT calculation with PBE-GGA was carried out for a relaxed SrAg2PbC crystal.

POSCAR file:
```
SrAg2PbC
1.0
-0.7048 4.3610 1.1898
0.2415 -1.3300 5.0181
4.5154 0.7359 -0.0223
Sr Ag C Pb
1 2 1 1
Cartesian
0.1207 -0.6650 2.5091
2.2577 0.3679 -0.0111
-0.3524 2.1805 0.5949
0.0000 0.0000 0.0000
2.0260 1.8834 3.0928
```

Properties
Crystal system: tetragonal
Relative energy among the computed polymorphs (eV/atom): 0.000



[6]
A plane-wave DFT calculation with PBE-GGA was carried out for a relaxed SrAg2PbC crystal.

POSCAR file:
```
SrAg2PbC
1.0
-4.1317 -0.9771 -3.8482
0.0724 -4.4899 1.0623
-3.9693 0.8908 4.0356
Ag Sr Pb C
2 1 1 1
Cartesian
-1.9847 0.4454 2.0178
-2.0659 -0.4885 -1.9241
0.0000 0.0000 0.0000
-4.0143 -2.2881 0.6248
0.0362 -2.2449 0.5311
```

Properties
Crystal system: tetragonal
Relative energy among the computed polymorphs (eV/atom): 0.974



[7]
A plane-wave DFT calculation with PBE-GGA was carried out for a relaxed Ag4Pd2C crystal.

POSCAR file:
```
Ag4Pd2C
1.0
-1.0119 0.3748 4.0540
1.9430 -3.6264 0.8202
6.3404 1.7823 3.5884
Pd C Ag
2 1 4
Cartesian
5.1345 -0.8131 5.6979
2.1370 -0.6562 2.7646
0.0000 0.0000 0.0000
-0.5059 0.1874 2.0270
2.8598 -2.1328 5.2521
0.9715 -1.8132 0.4101
4.4118 0.6634 3.2104
```

Properties
Crystal system: tetragonal



[8]
A plane-wave DFT calculation with PBE-GGA was carried out for a relaxed AgPd3C crystal.

POSCAR file:
```
AgPd3C
1.0
4.1694 0.0000 0.0000
0.0000 4.1694 0.0000
0.0000 0.0000 4.1694
Pd C Ag
3 1 1
Cartesian
2.0847 0.0000 0.0000
0.0000 0.0000 2.0847
0.0000 2.0847 0.0000
0.0000 0.0000 0.0000
2.0847 2.0847 2.0847
```

Properties
Crystal system: cubic
Relative energy among the computed polymorphs (eV/atom): 0.000



no.,VASP energy (eV per atom),DFT formation energy (meV/atom)
1,-3.925,1764
2,-5.919,-230
3,-3.530,1463
4,-3.452,2350
5,-3.526,537
6,-2.552,1512
7,-3.738,693
8,-5.352,179